No. 1
Entry from the Alexandria database: an optimized crystal structure of Re2RhW (PBE).

- excess energy over the best structure of this formula in the dataset (eV per atom) = 0.0377
- electronic total energy (eV per atom) = -11.304
- formation enthalpy at 0 K (eV/atom) = -0.004
- spin magnetization (μB per atom) = 0.00

Unit cell a=2.7733 b=2.7733 c=7.8467 alpha=90.00 beta=90.00 gamma=90.00
With the nearest neighbours (Å) after each atom.
Fractional coordinates of all 4 atoms:
Re 0.0000 0.0000 0.0000  8 Re 2.71-2.77, 4 W 2.82
Re 0.5000 0.5000 0.2389  8 Re 2.71-2.77, 4 Rh 2.79
Rh 0.0000 0.0000 0.4921  4 W 2.77, 4 Rh 2.77, 4 Re 2.79
W 0.5000 0.5000 0.7416  4 Rh 2.77, 4 W 2.77, 4 Re 2.82

***

No. 2
Entry from the Alexandria database: an optimized crystal structure of ReRhW2 (PBE).

- excess energy over the best structure of this formula in the dataset (eV per atom) = 0.1711
- electronic total energy (eV per atom) = -11.243
- formation enthalpy at 0 K (eV/atom) = 0.184
- spin magnetization (μB per atom) = 0.00

Unit cell a=3.2504 b=3.2504 c=5.9197 alpha=90.00 beta=90.00 gamma=90.00
With the nearest neighbours (Å) after each atom.
Fractional coordinates of all 4 atoms:
Re 0.0000 0.0000 0.0000  6 W 2.66-2.96, 4 Rh 2.85
Rh 0.5000 0.5000 0.2859  5 W 2.62-2.89, 4 Re 2.85
W 0.0000 0.0000 0.4992  4 Rh 2.62, 4 W 2.82
W 0.5000 0.5000 0.7741  4 Re 2.66, 4 W 2.82, 1 Rh 2.89

***

No. 3
Entry from the Alexandria database: an optimized crystal structure of Re2RhW (PBE).

- excess energy over the best structure of this formula in the dataset (eV per atom) = 0.0568
- electronic total energy (eV per atom) = -11.285
- formation enthalpy at 0 K (eV/atom) = 0.015
- spin magnetization (μB per atom) = 0.00

Unit cell a=4.8166 b=4.8166 c=4.8166 alpha=132.13 beta=132.13 gamma=70.03
With the nearest neighbours (Å) after each atom.
Fractional coordinates of all 4 atoms:
Re 0.2500 0.7500 0.5000  4 Re 2.76, 4 W 2.78, 4 Rh 2.78
Re 0.7500 0.2500 0.5000  4 Re 2.76, 4 W 2.78, 4 Rh 2.78
Rh 0.0000 0.0000 0.0000  4 W 2.76, 8 Re 2.78
W 0.5000 0.5000 0.0000  4 Rh 2.76, 8 Re 2.78

***

No. 4
Entry from the Alexandria database: an optimized crystal structure of ReRhW4 (PBE).

- electronic total energy (eV per atom) = -11.540
- formation enthalpy at 0 K (eV/atom) = 0.396
- spin magnetization (μB per atom) = 0.00

Unit cell a=5.1811 b=5.1811 c=5.1811 alpha=60.00 beta=60.00 gamma=60.00
With the nearest neighbours (Å) after each atom.
Fractional coordinates of all 6 atoms:
Re 0.0000 0.0000 0.0000  12 W 3.04, 4 Rh 3.17
Rh 0.7500 0.7500 0.7500  12 W 3.04, 4 Re 3.17
W 0.3745 0.3745 0.3745  6 W 2.58-2.60
W 0.3745 0.3745 0.8765  6 W 2.58-2.60
W 0.3745 0.8765 0.3745  6 W 2.58-2.60
W 0.8765 0.3745 0.3745  6 W 2.58-2.60

***

No. 5
Entry from the Alexandria database: an optimized crystal structure of Re2RhW (PBE).

- excess energy over the best structure of this formula in the dataset (eV per atom) = 0.0626
- electronic total energy (eV per atom) = -11.279
- formation enthalpy at 0 K (eV/atom) = 0.021
- spin magnetization (μB per atom) = 0.00

Unit cell a=4.7911 b=4.7911 c=4.8397 alpha=99.33 beta=99.33 gamma=33.45
With the nearest neighbours (Å) after each atom.
Fractional coordinates of all 4 atoms:
Re 0.0000 0.0000 0.0000  5 Re 2.73-2.76, 4 Rh 2.75-2.82, 3 W 2.81
Re 0.2495 0.2495 0.7638  5 Re 2.73-2.76, 3 Rh 2.76-2.80, 4 W 2.77-2.80
Rh 0.5024 0.5024 0.5097  3 W 2.74-2.77, 7 Re 2.75-2.82, 2 Rh 2.76
W 0.7512 0.7512 0.2677  3 Rh 2.74-2.77, 2 W 2.76, 7 Re 2.77-2.81

***

No. 6
Entry from the Alexandria database: an optimized crystal structure of ReRhW2 (PBE).

- excess energy over the best structure of this formula in the dataset (eV per atom) = 0.0729
- electronic total energy (eV per atom) = -11.341
- formation enthalpy at 0 K (eV/atom) = 0.086
- spin magnetization (μB per atom) = 0.00

Unit cell a=2.7155 b=2.7155 c=8.5713 alpha=90.00 beta=90.00 gamma=102.50
With the nearest neighbours (Å) after each atom.
Fractional coordinates of all 4 atoms:
Re 0.0000 0.0000 0.0000  4 Rh 2.65-2.94, 4 Re 2.72, 2 W 2.77
Rh 0.5000 0.5000 0.2371  4 Re 2.65-2.94, 2 W 2.70, 4 Rh 2.72
W 0.0000 0.0000 0.4815  4 Rh 2.70-2.98, 6 W 2.72-2.82
W 0.5000 0.5000 0.7443  6 W 2.72-2.82, 2 Re 2.77

***

No. 7
Entry from the Alexandria database: an optimized crystal structure of Re2RhW (PBE).

- excess energy over the best structure of this formula in the dataset (eV per atom) = 0.1574
- electronic total energy (eV per atom) = -11.185
- formation enthalpy at 0 K (eV/atom) = 0.116
- spin magnetization (μB per atom) = 0.00

Unit cell a=9.3539 b=9.3539 c=9.3539 alpha=16.95 beta=16.95 gamma=16.95
With the nearest neighbours (Å) after each atom.
Fractional coordinates of all 4 atoms:
Re 0.2475 0.2475 0.2475  3 Rh 2.74, 6 Re 2.76, 3 W 2.86
Re 0.7525 0.7525 0.7525  3 Rh 2.74, 6 Re 2.76, 3 W 2.86
Rh 0.5000 0.5000 0.5000  6 Re 2.74, 6 Rh 2.76
W 0.0000 0.0000 0.0000  6 W 2.76, 6 Re 2.86

***

No. 8
Entry from the Alexandria database: an optimized crystal structure of Re2RhW (PBE).

- excess energy over the best structure of this formula in the dataset (eV per atom) = 0.0121
- electronic total energy (eV per atom) = -11.330
- formation enthalpy at 0 K (eV/atom) = -0.030
- spin magnetization (μB per atom) = 0.00

Unit cell a=4.7879 b=4.7879 c=4.7879 alpha=131.57 beta=131.57 gamma=70.91
With the nearest neighbours (Å) after each atom.
Fractional coordinates of all 4 atoms:
Re 0.0000 0.0000 0.0000  4 W 2.77, 4 Re 2.77, 4 Rh 2.78
Re 0.7500 0.2500 0.5000  4 Re 2.77, 4 Rh 2.77, 4 W 2.78
Rh 0.5000 0.5000 0.0000  8 Re 2.77-2.78, 4 W 2.77
W 0.2500 0.7500 0.5000  8 Re 2.77-2.78, 4 Rh 2.77

***

No. 9
Entry from the Alexandria database: an optimized crystal structure of Re2RhW (PBE).

- excess energy over the best structure of this formula in the dataset (eV per atom) = 0.8434
- electronic total energy (eV per atom) = -10.499
- formation enthalpy at 0 K (eV/atom) = 0.802
- spin magnetization (μB per atom) = 0.00

Unit cell a=9.5108 b=9.5108 c=9.5108 alpha=156.86 beta=156.86 gamma=32.95
With the nearest neighbours (Å) after each atom.
Fractional coordinates of all 8 atoms:
Re 0.0982 0.6250 0.9732  4 Re 2.56-2.85, 2 Rh 2.61, 2 W 2.69
Re 0.3750 0.3482 0.4732  4 Re 2.56-2.85, 2 Rh 2.61, 2 W 2.69
Re 0.6518 0.1250 0.0268  4 Re 2.56-2.85, 2 Rh 2.61, 2 W 2.69
Re 0.8750 0.9018 0.5268  4 Re 2.56-2.85, 2 Rh 2.61, 2 W 2.69
Rh 0.0000 0.0000 0.0000  4 Re 2.61, 4 W 2.70
Rh 0.7500 0.2500 0.5000  4 Re 2.61, 4 W 2.70
W 0.2500 0.7500 0.5000  4 Re 2.69, 4 Rh 2.70
W 0.5000 0.5000 0.0000  4 Re 2.69, 4 Rh 2.70

***

No. 10
Entry from the Alexandria database: an optimized crystal structure of Re2RhW (PBE).

- excess energy over the best structure of this formula in the dataset (eV per atom) = 0.2533
- electronic total energy (eV per atom) = -11.089
- formation enthalpy at 0 K (eV/atom) = 0.212
- spin magnetization (μB per atom) = 0.00

Unit cell a=3.2807 b=3.2807 c=5.6893 alpha=90.00 beta=90.00 gamma=90.00
With the nearest neighbours (Å) after each atom.
Fractional coordinates of all 4 atoms:
Re 0.0000 0.0000 0.0000  4 Re 2.68, 4 W 2.80, 2 Rh 2.81-2.88
Re 0.5000 0.5000 0.2350  4 Re 2.68, 4 Rh 2.79, 2 W 2.79-2.90
Rh 0.0000 0.0000 0.5060  4 W 2.63, 6 Re 2.79-2.88
W 0.5000 0.5000 0.7248  4 Rh 2.63, 6 Re 2.79-2.90

***

No. 11
Entry from the Alexandria database: an optimized crystal structure of ReRhW2 (PBE).

- excess energy over the best structure of this formula in the dataset (eV per atom) = 0.0497
- electronic total energy (eV per atom) = -11.364
- formation enthalpy at 0 K (eV/atom) = 0.062
- spin magnetization (μB per atom) = 0.00

Unit cell a=4.8726 b=4.8726 c=4.8726 alpha=132.56 beta=132.56 gamma=69.34
With the nearest neighbours (Å) after each atom.
Fractional coordinates of all 4 atoms:
Re 0.0000 0.0000 0.0000  8 W 2.77-2.80, 4 Rh 2.80
Rh 0.7500 0.2500 0.5000  8 W 2.77-2.80, 4 Re 2.80
W 0.2500 0.7500 0.5000  4 Rh 2.77, 4 W 2.80, 4 Re 2.80
W 0.5000 0.5000 0.0000  4 Re 2.77, 4 W 2.80, 4 Rh 2.80

***

No. 12
Entry from the Alexandria database: an optimized crystal structure of ReRh6W (PBE).

- excess energy over the best structure of this formula in the dataset (eV per atom) = 0.0000
- electronic total energy (eV per atom) = -8.796
- formation enthalpy at 0 K (eV/atom) = -0.107
- spin magnetization (μB per atom) = 0.04

Unit cell a=5.4496 b=5.4496 c=3.8769 alpha=90.00 beta=90.00 gamma=90.00
With the nearest neighbours (Å) after each atom.
Fractional coordinates of all 8 atoms:
Re 0.0000 0.0000 0.0000  12 Rh 2.72-2.73
Rh 0.0000 0.5000 0.0000  2 W 2.72, 2 Re 2.72, 8 Rh 2.73
Rh 0.2488 0.2488 0.5000  8 Rh 2.71-2.74, 2 Re 2.73, 2 W 2.74
Rh 0.2488 0.7512 0.5000  8 Rh 2.71-2.74, 2 Re 2.73, 2 W 2.74
Rh 0.5000 0.0000 0.0000  2 W 2.72, 2 Re 2.72, 8 Rh 2.73
Rh 0.7512 0.2488 0.5000  8 Rh 2.71-2.74, 2 Re 2.73, 2 W 2.74
Rh 0.7512 0.7512 0.5000  8 Rh 2.71-2.74, 2 Re 2.73, 2 W 2.74
W 0.5000 0.5000 0.0000  12 Rh 2.72-2.74